Computed, not measured: a geometry-optimized Mg2ZnGaH structure at the GGA-PBE level of DFT.

Summary:
* spin magnetization: 0.0 Bohr magnetons per cell
* total DFT energy (no corrections): -2.1591 eV/atom
* E above lowest polymorph: 0.0 meV/atom

abc: 4.3448 4.3448 4.0278
angles: 90.00 90.00 90.00
Element x y z (fractional)
1 Mg 0.0000 0.5000 0.0000
2 Mg 0.5000 0.0000 0.0000
3 Zn 0.0000 0.0000 0.5000
4 Ga 0.5000 0.5000 0.5000
5 H 0.0000 0.0000 0.0000